1.
{"formula": "BaAg2HgCl8", "functional": "GGA-PBE", "state": "relaxed", "cell": [[-3.553, 3.553, 6.637], [3.553, -3.553, 6.637], [3.553, 3.553, -6.637]], "species": ["Ba", "Ag", "Ag", "Hg", "Cl", "Cl", "Cl", "Cl", "Cl", "Cl", "Cl", "Cl"], "fractional_positions": [[0.000, 0.000, 0.000], [0.250, 0.750, 0.500], [0.500, 0.500, 0.000], [0.750, 0.250, 0.500], [0.031, 0.034, 0.640], [0.163, 0.392, 0.594], [0.393, 0.391, 0.360], [0.432, 0.837, 0.230], [0.608, 0.202, 0.770], [0.609, 0.969, 0.003], [0.798, 0.568, 0.406], [0.966, 0.607, 0.997]], "e_form_raw_mev_per_atom": -834, "sg": "I-4, No. 82", "crystal_system": "tetragonal", "dos_ef_per_ev_atom": 0.3193}



2.
{"formula": "La2Ir2Ru", "functional": "GGA-PBE", "state": "relaxed", "cell": [[-2.887, 2.887, 3.689], [2.887, -2.887, 3.689], [2.887, 2.887, -3.689]], "species": ["La", "La", "Ir", "Ir", "Ru"], "fractional_positions": [[0.250, 0.750, 0.500], [0.750, 0.250, 0.500], [0.170, 0.170, 0.000], [0.830, 0.830, 0.000], [0.500, 0.500, 0.000]], "sg": "I4/mmm, No. 139", "crystal_system": "tetragonal", "dos_ef_per_ev_atom": 0.7791, "ef_ev_per_atom": -0.119}



3.
{"formula": "NaAgSn", "functional": "GGA-PBE", "state": "relaxed", "cell": [[4.613, 0.000, 0.000], [-2.307, 3.995, 0.000], [0.000, 0.000, 8.952]], "species": ["Na", "Na", "Ag", "Ag", "Sn", "Sn"], "fractional_positions": [[0.000, 0.000, 0.180], [0.000, 0.000, 0.820], [0.333, 0.667, 0.500], [0.667, 0.333, 0.000], [0.667, 0.333, 0.342], [0.667, 0.333, 0.658]], "sg": "P-6m2, No. 187", "crystal_system": "hexagonal", "dos_ef_per_ev_atom": 0.5785, "ef_ev_per_atom": 0.119}



4.
{"formula": "LiSmAgPd2", "functional": "GGA-PBE", "state": "relaxed", "cell": [[5.253, 0.000, 0.000], [0.000, 5.973, 0.000], [0.000, 0.000, 5.950]], "species": ["Li", "Li", "Sm", "Sm", "Ag", "Ag", "Pd", "Pd", "Pd", "Pd"], "fractional_positions": [[0.000, 0.000, 0.000], [0.500, 0.000, 0.000], [0.250, 0.500, 0.238], [0.750, 0.500, 0.762], [0.250, 0.000, 0.371], [0.750, 0.000, 0.629], [0.250, 0.266, 0.743], [0.250, 0.734, 0.743], [0.750, 0.266, 0.257], [0.750, 0.734, 0.257]], "sg": "Pmma, No. 51", "crystal_system": "orthorhombic", "dos_ef_per_ev_atom": 0.3873, "ef_ev_per_atom": -0.480}



5.
{"formula": "Al2ZnP", "functional": "GGA-PBE", "state": "relaxed", "cell": [[2.699, -3.583, 0.000], [2.699, 3.583, 0.000], [-0.678, 0.000, 3.347]], "species": ["Al", "Al", "Zn", "P"], "fractional_positions": [[0.000, 0.500, 0.000], [0.500, 0.000, 0.000], [0.000, 0.000, 0.500], [0.500, 0.500, 0.500]], "sg": "C2/m, No. 12", "crystal_system": "monoclinic", "dos_ef_per_ev_atom": 0.3236, "ef_ev_per_atom": 0.105}



6.
{"formula": "NaCrAsBr2", "functional": "GGA-PBE", "state": "relaxed", "cell": [[5.324, 0.000, 0.000], [0.000, 5.324, 0.000], [0.000, 0.000, 5.525]], "species": ["Na", "Cr", "As", "Br", "Br"], "fractional_positions": [[0.000, 0.000, 0.000], [0.500, 0.500, 0.500], [0.000, 0.000, 0.500], [0.000, 0.500, 0.000], [0.500, 0.000, 0.000]], "e_form_raw_mev_per_atom": 439, "sg": "P4/mmm, No. 123", "crystal_system": "tetragonal", "dos_ef_per_ev_atom": 0.4191}